Below is a geometry-optimized Tm3Al3CuGeAu structure, with properties calculated at the PBE level.

Output
DFT total energy: -4.706 eV per atom
density: 8.7 g cm⁻³
space-group type: P-6, No. 174

Unit cell a=7.0315 b=7.0315 c=4.1066 alpha=90.00 beta=90.00 gamma=120.00
With the nearest neighbours (Å) after each atom.
Sites, in units of the cell vectors:
Tm 0.0012 0.4077 0.0000  1 Cu 2.86, 2 Ge 2.96, 2 Au 2.97, 2 Al 3.20
Tm 0.4066 0.9988 0.0000  1 Cu 2.86, 2 Ge 2.96, 2 Au 2.97, 2 Al 3.20
Tm 0.5923 0.5934 0.0000  1 Cu 2.86, 2 Ge 2.96, 2 Au 2.97, 2 Al 3.20
Al 0.2380 0.2308 0.5000  2 Cu 2.63, 1 Au 2.73, 1 Ge 2.79, 2 Al 2.86
Al 0.7692 0.0073 0.5000  2 Cu 2.63, 1 Au 2.73, 1 Ge 2.79, 2 Al 2.86
Al 0.9927 0.7620 0.5000  2 Cu 2.63, 1 Au 2.73, 1 Ge 2.79, 2 Al 2.86
Cu 0.0000 0.0000 0.0000  6 Al 2.63, 3 Tm 2.86
Ge 0.3333 0.6667 0.5000  3 Al 2.79, 6 Tm 2.96
Au 0.6667 0.3333 0.5000  3 Al 2.73, 6 Tm 2.97